# 1
VASP calculation (meta-GGA SCAN) on a crystal of TaB2Mo relaxed with PBEsol.

Results
Magnetic moment   0.00 μB per cell
Uncorrected energy   -29.7407 eV per atom
V   43 Å³ per cell

Unit cell a=3.1045 b=4.5572 c=4.5572 alpha=41.25 beta=90.00 gamma=90.00
Last column: nearest neighbours and their distance in Å.
Fractional positions:
Ta 0.0000 0.0000 0.0000  7 B 2.35-2.50
B 0.0000 0.2929 0.2929  2 B 1.86
B 0.5000 0.4126 0.4126  2 B 1.86
Mo 0.5000 0.7092 0.7092  7 B 2.34-2.53

# 2
VASP calculation (meta-GGA SCAN) on a crystal of InMoIr2Pd relaxed with PBEsol.

Results
Magnetic moment   0.00 μB per cell
Uncorrected energy   -47.1937 eV per atom
V   107 Å³ per cell

Unit cell a=4.5963 b=4.5963 c=5.0755 alpha=90.00 beta=90.00 gamma=90.00
Last column: nearest neighbours and their distance in Å.
Fractional positions:
In 0.0000 0.0000 0.0000  2 Mo 2.54
Mo 0.0000 0.0000 0.5000  4 Ir 2.30, 2 In 2.54
Ir 0.0000 0.5000 0.5000  2 Mo 2.30
Ir 0.5000 0.0000 0.5000  2 Mo 2.30
Pd 0.5000 0.5000 0.0000  4 In 3.25, 8 Ir 3.42

# 3
VASP calculation (meta-GGA SCAN) on a crystal of GaSi2I2 relaxed with PBEsol.

Results
Magnetic moment   0.00 μB per cell
Uncorrected energy   -21.3807 eV per atom
V   131 Å³ per cell

Unit cell a=5.6609 b=5.6609 c=5.6609 alpha=118.66 beta=118.66 gamma=92.33
Last column: nearest neighbours and their distance in Å.
Fractional positions:
Ga 0.0000 0.0000 0.0000  2 Si 2.70
Si 0.3438 0.3438 0.0000  1 Si 2.45, 1 Ga 2.70
Si 0.6562 0.6562 0.0000  1 Si 2.45, 1 Ga 2.70
I 0.2500 0.7500 0.5000  4 Si 2.98
I 0.7500 0.2500 0.5000  4 Si 2.98

# 4
VASP calculation (meta-GGA SCAN) on a crystal of Ca3Ge4Ir4 relaxed with PBEsol.

Results
Magnetic moment   0.00 μB per cell
Uncorrected energy   -36.2587 eV per atom
V   216 Å³ per cell

Unit cell a=6.5466 b=6.5466 c=6.5466 alpha=109.47 beta=109.47 gamma=109.47
Last column: nearest neighbours and their distance in Å.
Fractional positions:
Ca 0.0000 0.5000 0.5000  4 Ge 3.10, 4 Ir 3.12
Ca 0.5000 0.0000 0.5000  4 Ge 3.10, 4 Ir 3.12
Ca 0.5000 0.5000 0.0000  4 Ge 3.10, 4 Ir 3.12
Ge 0.0000 0.0000 0.3751  4 Ir 2.34-2.50
Ge 0.0000 0.3751 0.0000  4 Ir 2.34-2.50
Ge 0.3751 0.0000 0.0000  4 Ir 2.34-2.50
Ge 0.6249 0.6249 0.6249  4 Ir 2.34-2.50
Ir 0.0000 0.0000 0.7326  4 Ge 2.34-2.50
Ir 0.0000 0.7326 0.0000  4 Ge 2.34-2.50
Ir 0.2674 0.2674 0.2674  4 Ge 2.34-2.50
Ir 0.7326 0.0000 0.0000  4 Ge 2.34-2.50

# 5
VASP calculation (meta-GGA SCAN) on a crystal of CuNiNF2 relaxed with PBEsol.

Results
Magnetic moment   2.10 μB per cell
Uncorrected energy   -9.6197 eV per atom
V   54 Å³ per cell

Unit cell a=3.7191 b=3.7191 c=3.8772 alpha=90.00 beta=90.00 gamma=90.00
Last column: nearest neighbours and their distance in Å.
Fractional positions:
Cu 0.0000 0.0000 0.0000  4 F 1.86, 2 N 1.94
Ni 0.5000 0.5000 0.5000  4 N 2.63, 8 F 2.69
N 0.0000 0.0000 0.5000  2 Cu 1.94
F 0.0000 0.5000 0.0000  2 Cu 1.86
F 0.5000 0.0000 0.0000  2 Cu 1.86

# 6
VASP calculation (meta-GGA SCAN) on a crystal of CrTc2Ir relaxed with PBEsol.

Results
Magnetic moment   0.00 μB per cell
V   54 Å³ per cell
Energy above the most stable polymorph in this dataset   0.0 meV per atom

Unit cell a=2.6689 b=3.7514 c=5.3547 alpha=90.00 beta=90.00 gamma=90.00
Last column: nearest neighbours and their distance in Å.
Fractional positions:
Cr 0.0000 0.0000 0.0000  4 Ir 2.63, 6 Tc 2.64-2.72, 2 Cr 2.67
Tc 0.0000 0.0000 0.5073  2 Cr 2.64-2.72, 6 Tc 2.66-2.67, 4 Ir 2.71
Tc 0.5000 0.5000 0.7548  2 Ir 2.59-2.76, 4 Cr 2.65, 6 Tc 2.66-2.67
Ir 0.5000 0.5000 0.2390  6 Tc 2.59-2.76, 4 Cr 2.63, 2 Ir 2.67

# 7
VASP calculation (meta-GGA SCAN) on a crystal of BeHgI3 relaxed with PBEsol.

Results
Magnetic moment   0.81 μB per cell
Uncorrected energy   -35.9110 eV per atom
V   190 Å³ per cell

Unit cell a=5.7457 b=5.7457 c=5.7457 alpha=90.00 beta=90.00 gamma=90.00
Last column: nearest neighbours and their distance in Å.
Fractional positions:
Be 0.0000 0.0000 0.0000  12 I 4.06
Hg 0.5000 0.5000 0.5000  6 I 2.87
I 0.0000 0.5000 0.5000  2 Hg 2.87
I 0.5000 0.0000 0.5000  2 Hg 2.87
I 0.5000 0.5000 0.0000  2 Hg 2.87

# 8
VASP calculation (meta-GGA SCAN) on a crystal of GaAg2 relaxed with PBEsol.

Results
Magnetic moment   0.00 μB per cell
Uncorrected energy   -26.3764 eV per atom
V   145 Å³ per cell

Unit cell a=7.6357 b=7.6357 c=2.8775 alpha=90.00 beta=90.00 gamma=120.00
Last column: nearest neighbours and their distance in Å.
Fractional positions:
Ga 0.0000 0.0000 0.0000  9 Ag 2.74-2.76, 2 Ga 2.88
Ga 0.3333 0.6667 0.5000  9 Ag 2.66-2.84, 2 Ga 2.88
Ga 0.6667 0.3333 0.5000  9 Ag 2.66-2.84, 2 Ga 2.88
Ag 0.0000 0.3047 0.5000  4 Ga 2.66-2.74, 8 Ag 2.88-2.95
Ag 0.0000 0.6384 0.0000  5 Ga 2.76-2.84, 8 Ag 2.88-2.95
Ag 0.3047 0.0000 0.5000  4 Ga 2.66-2.74, 8 Ag 2.88-2.95
Ag 0.3616 0.3616 0.0000  5 Ga 2.76-2.84, 8 Ag 2.88-2.95
Ag 0.6384 0.0000 0.0000  5 Ga 2.76-2.84, 8 Ag 2.88-2.95
Ag 0.6953 0.6953 0.5000  4 Ga 2.66-2.74, 8 Ag 2.88-2.95

# 9
VASP calculation (meta-GGA SCAN) on a crystal of Cr2CdW relaxed with PBEsol.

Results
Magnetic moment   0.00 μB per cell
Uncorrected energy   -33.7002 eV per atom
V   60 Å³ per cell

Unit cell a=2.6657 b=4.2158 c=5.4785 alpha=90.00 beta=101.98 gamma=90.00
Last column: nearest neighbours and their distance in Å.
Fractional positions:
Cr 0.2147 0.0000 0.1897  1 Cr 2.15
Cr 0.7853 0.0000 0.8103  1 Cr 2.15
Cd 0.0000 0.5000 0.5000  2 Cd 2.67, 2 W 2.79, 4 Cr 2.84
W 0.5000 0.5000 0.0000  4 Cr 2.54, 2 W 2.67, 2 Cd 2.79

# 10
VASP calculation (meta-GGA SCAN) on a crystal of LiIrRh2 relaxed with PBEsol.

Results
Magnetic moment   0.01 μB per cell
V   53 Å³ per cell
Energy above the most stable polymorph in this dataset   8.9 meV per atom

Unit cell a=4.6199 b=4.6199 c=4.5511 alpha=98.64 beta=98.64 gamma=33.55
Last column: nearest neighbours and their distance in Å.
Fractional positions:
Li 0.0000 0.0000 0.0000  7 Rh 2.51-2.69, 3 Ir 2.65-2.79, 2 Li 2.67
Ir 0.7596 0.7596 0.2821  7 Rh 2.58-2.66, 3 Li 2.65-2.79, 2 Ir 2.67
Rh 0.2432 0.2432 0.7809  3 Li 2.51-2.69, 4 Ir 2.63-2.66, 5 Rh 2.67-2.81
Rh 0.5024 0.5024 0.4959  3 Ir 2.58-2.61, 4 Li 2.62-2.66, 5 Rh 2.67-2.81

# 11
VASP calculation (meta-GGA SCAN) on a crystal of ErFeCo relaxed with PBEsol.

Results
Magnetic moment   6.10 μB per cell
Uncorrected energy   -28.7730 eV per atom
V   88 Å³ per cell

Unit cell a=4.9670 b=4.9670 c=4.9670 alpha=120.38 beta=118.03 gamma=91.39
Last column: nearest neighbours and their distance in Å.
Fractional positions:
Er 0.3753 0.1253 0.2500  6 Fe 2.88-2.97, 6 Co 2.90-2.91, 4 Er 3.02-3.09
Er 0.6247 0.8747 0.7500  6 Fe 2.88-2.97, 6 Co 2.90-2.91, 4 Er 3.02-3.09
Fe 0.0000 0.0000 0.5000  2 Fe 2.47, 4 Co 2.48
Fe 0.0000 0.5000 0.0000  2 Fe 2.47, 4 Co 2.48
Co 0.0000 0.5000 0.5000  4 Fe 2.48, 2 Co 2.56
Co 0.5000 0.5000 0.0000  4 Fe 2.48, 2 Co 2.56

# 12
VASP calculation (meta-GGA SCAN) on a crystal of TcPF2 relaxed with PBEsol.

Results
Magnetic moment   0.00 μB per cell
V   54 Å³ per cell
Energy above the most stable polymorph in this dataset   114.9 meV per atom

Unit cell a=9.6733 b=9.6733 c=9.6733 alpha=15.14 beta=15.14 gamma=15.14
Last column: nearest neighbours and their distance in Å.
Fractional positions:
Tc 0.0000 0.0000 0.0000  6 Tc 2.55
P 0.5000 0.5000 0.5000  2 F 1.64
F 0.4428 0.4428 0.4428  1 P 1.64
F 0.5572 0.5572 0.5572  1 P 1.64

Number 4 is which compound? Ca3Ge4Ir4

Which formula does entry 7 have? BeHgI3